A relaxed MgNpMn2O8 crystal, computed with GGA+U.

Lattice parameters (Å, degrees): 6.7577 6.7577 6.6457 90.00 90.00 90.00
Last column: nearest neighbours and their distance in Å.
Space group I-4m2 (No. 119)
Unique sites:
Mg1 0.0000 0.0000 0.0000  8 O 2.16-2.41
Np1 0.0000 0.5000 0.7500  4 O 1.96
Mn1 0.0000 0.0000 0.5000  4 O 2.00
Mn2 0.0000 0.5000 0.2500  4 O 1.72
O1 0.0000 0.2125 0.7095  1 Np 1.96, 1 Mn 2.00
O2 0.0000 0.3092 0.0797  1 Mn 1.72

Results
As for the mass density: 5.5 g/cm3. The calculation puts the electronic total energy at -7.604 eV per atom.